# 1
{"formula": "Cs3Bi2Sb4", "functional": "PBE-GGA", "state": "optimized geometry", "cell": [[5.031, 0.001, 0.009], [2.512, 7.364, 1.060], [2.522, 4.368, 11.590]], "species": ["Sb", "Cs", "Cs", "Cs", "Sb", "Sb", "Bi", "Sb", "Bi"], "fractional_positions": [[0.296, 0.389, 0.018], [0.363, 0.908, 0.366], [0.000, 0.000, 0.000], [0.637, 0.092, 0.634], [0.704, 0.611, 0.982], [0.936, 0.489, 0.638], [0.331, 0.598, 0.740], [0.064, 0.511, 0.362], [0.669, 0.402, 0.260]], "total_magnetization_mub_per_fu": 0.00, "dos_ef_per_ev_cell": 3.306, "space_group": "P-1, No. 2", "final_energy_ev_per_atom": -3.245, "de_polymorph_mev_per_atom": 0, "e_form_raw_ev_per_atom": -0.266}

# 2
{"formula": "Cs3Bi2Sb4", "functional": "PBE-GGA", "state": "optimized geometry", "cell": [[-3.297, -3.791, -1.133], [3.622, -5.564, -3.620], [5.288, -7.140, 8.731]], "species": ["Bi", "Sb", "Cs", "Cs", "Sb", "Sb", "Cs", "Sb", "Bi"], "fractional_positions": [[0.717, 0.560, 0.708], [0.881, 0.243, 0.259], [0.395, 0.203, 0.635], [0.000, 0.000, 0.000], [0.275, 0.450, 0.950], [0.119, 0.757, 0.741], [0.605, 0.797, 0.365], [0.725, 0.550, 0.050], [0.283, 0.440, 0.292]], "total_magnetization_mub_per_fu": 0.00, "dos_ef_per_ev_cell": 4.768, "space_group": "P-1, No. 2", "final_energy_ev_per_atom": -3.230, "de_polymorph_mev_per_atom": 16, "e_form_raw_ev_per_atom": -0.251}

# 3
{"formula": "Cs2Sc2Bi2Sb", "functional": "PBE-GGA", "state": "optimized geometry", "cell": [[-0.863, -0.940, 5.293], [-4.439, -2.899, -1.238], [8.084, -6.165, -2.577]], "species": ["Bi", "Cs", "Sc", "Bi", "Sb", "Cs", "Sc"], "fractional_positions": [[0.406, 0.406, 0.812], [0.816, 0.816, 0.631], [0.000, 0.500, 0.000], [0.594, 0.594, 0.188], [0.000, 0.000, 0.000], [0.184, 0.184, 0.369], [0.500, 0.000, 0.000]], "total_magnetization_mub_per_fu": 0.00, "dos_ef_per_ev_cell": 3.326, "space_group": "I4/mmm, No. 139", "final_energy_ev_per_atom": -4.273, "e_form_raw_ev_per_atom": -0.522}

# 4
{"formula": "Cs2BiSbSe4", "functional": "PBE-GGA", "state": "optimized geometry", "cell": [[-2.799, -4.485, -5.657], [6.535, 3.773, -1.734], [2.460, -3.796, 6.284]], "species": ["Sb", "Se", "Se", "Bi", "Se", "Se", "Cs", "Cs"], "fractional_positions": [[0.000, 0.500, 0.500], [0.584, 0.370, 0.452], [0.918, 0.548, 0.132], [0.500, 0.250, 0.750], [0.082, 0.215, 0.630], [0.416, 0.868, 0.785], [0.500, 0.750, 0.250], [0.000, 0.000, 0.000]], "total_magnetization_mub_per_fu": 0.00, "space_group": "I-4, No. 82", "final_energy_ev_per_atom": -3.584, "e_form_raw_ev_per_atom": -0.628}

# 5
{"formula": "Cs2Sn2BiSb2", "functional": "PBE-GGA", "state": "optimized geometry", "cell": [[4.350, 0.000, 0.000], [2.173, 8.007, 1.847], [0.000, 4.115, 10.257]], "species": ["Sn", "Cs", "Sb", "Cs", "Bi", "Sb", "Sn"], "fractional_positions": [[0.813, 0.374, 0.679], [0.443, 0.115, 0.248], [0.171, 0.658, 0.581], [0.557, 0.885, 0.752], [0.000, 0.000, 0.000], [0.829, 0.342, 0.419], [0.187, 0.626, 0.321]], "total_magnetization_mub_per_fu": 0.00, "dos_ef_per_ev_cell": 1.725, "space_group": "C2/m, No. 12", "final_energy_ev_per_atom": -3.342, "e_form_raw_ev_per_atom": -0.222}

# 6
{"formula": "CsSn2BiSb", "functional": "PBE-GGA", "state": "optimized geometry", "cell": [[-2.392, -3.102, -2.336], [5.114, 1.038, -6.616], [4.052, -8.576, 7.240]], "species": ["Bi", "Sn", "Sn", "Sn", "Sb", "Sn", "Cs", "Cs", "Sb", "Bi"], "fractional_positions": [[0.250, 0.284, 0.066], [0.750, 0.564, 0.641], [0.250, 0.464, 0.867], [0.750, 0.536, 0.133], [0.250, 0.324, 0.584], [0.250, 0.436, 0.359], [0.750, 0.064, 0.736], [0.250, 0.936, 0.264], [0.750, 0.676, 0.416], [0.750, 0.716, 0.934]], "total_magnetization_mub_per_fu": 0.00, "dos_ef_per_ev_cell": 2.692, "space_group": "P2_1/m, No. 11", "final_energy_ev_per_atom": -3.559, "e_form_raw_ev_per_atom": -0.187}

# 7
{"formula": "CsBiSb2Te", "functional": "PBE-GGA", "state": "optimized geometry", "cell": [[6.140, 0.000, 0.000], [0.000, 6.140, 0.000], [0.000, 0.000, 6.191]], "species": ["Cs", "Sb", "Sb", "Bi", "Te"], "fractional_positions": [[0.000, 0.000, 0.000], [0.000, 0.500, 0.000], [0.500, 0.000, 0.000], [0.500, 0.500, 0.500], [0.000, 0.000, 0.500]], "total_magnetization_mub_per_fu": 0.00, "dos_ef_per_ev_cell": 8.477, "space_group": "P4/mmm, No. 123", "final_energy_ev_per_atom": -1.835, "de_polymorph_mev_per_atom": 1190, "e_form_raw_ev_per_atom": 1.390}

# 8
{"formula": "Cs2BiSb2Te6", "functional": "PBE-GGA", "state": "optimized geometry", "cell": [[-1.504, 7.360, -1.315], [1.074, -4.793, -5.834], [-9.056, -2.746, 2.217]], "species": ["Te", "Cs", "Sb", "Cs", "Te", "Sb", "Te", "Te", "Te", "Bi", "Te"], "fractional_positions": [[0.596, 0.937, 0.310], [0.836, 0.164, 0.000], [0.668, 0.332, 0.500], [0.164, 0.836, 0.000], [0.063, 0.404, 0.690], [0.332, 0.668, 0.500], [0.404, 0.063, 0.690], [0.937, 0.596, 0.310], [0.717, 0.717, 0.690], [0.000, 0.000, 0.500], [0.283, 0.283, 0.310]], "total_magnetization_mub_per_fu": 0.00, "dos_ef_per_ev_cell": 7.250, "space_group": "C2/m, No. 12", "final_energy_ev_per_atom": -3.395, "e_form_raw_ev_per_atom": -0.423}